# 1
A plane-wave DFT calculation with PBE was carried out for a geometry-optimized Rb2MnZn2 structure.

Lattice parameters (Å, degrees): 10.4263 10.4263 3.3609 90.00 90.00 90.00
With the nearest neighbours (Å) after each atom.
Space group P4/mbm (No. 127)
Inequivalent atoms, fractional coordinates:
Rb  0.1991  0.3009  0.0000  2 Rb 3.36, 6 Zn 3.54-3.63, 2 Mn 3.76
Mn  0.0000  0.0000  0.0000  2 Mn 3.36, 4 Rb 3.76
Zn  0.0895  0.5895  0.5000  1 Zn 2.64

Formation energy (eV per atom): 0.741
Total magnetization (μB/atom): 0.863
Raw total energy (eV per atom): -1.990
Theoretical density (g cm⁻³): 3.2
Relative energy among the computed polymorphs (meV per atom): 130


# 2
A plane-wave DFT calculation with PBE was carried out for a geometry-optimized Tb8Ho3Sc2 structure.

Lattice parameters (Å, degrees): 14.7454 9.0707 6.6689 90.00 109.19 90.00
With the nearest neighbours (Å) after each atom.
Space group C2/m (No. 12)
Inequivalent atoms, fractional coordinates:
Tb  0.0924  0.0000  0.2190  4 Tb 3.28-3.46, 2 Ho 3.41, 1 Sc 3.48
Tb  0.1210  0.1810  0.6929  4 Tb 3.28-3.65, 2 Sc 3.30-3.44, 2 Ho 3.40-3.42
Tb  0.1898  0.5000  0.3936  1 Ho 3.10, 2 Sc 3.21-3.47, 3 Tb 3.40-3.45
Ho  0.0000  0.3296  0.0000  1 Ho 3.09, 4 Tb 3.40-3.41
Ho  0.0000  0.5000  0.5000  6 Tb 3.10-3.42, 2 Sc 3.34
Sc  0.2000  0.5000  0.9209  7 Tb 3.21-3.48, 3 Ho 3.34-3.52

Formation energy (eV per atom): 0.228
Total magnetization (μB/atom): 0.000
Raw total energy (eV per atom): -4.652
Theoretical density (g cm⁻³): 7.3


# 3
A plane-wave DFT calculation with PBE was carried out for a geometry-optimized CdGaI3 structure.

Lattice parameters (Å, degrees): 4.5915 26.2296 7.7171 90.00 90.00 90.00
With the nearest neighbours (Å) after each atom.
Space group Ama2 (No. 40)
Inequivalent atoms, fractional coordinates:
Cd  0.2500  0.1230  0.0000  4 I 2.77-2.90
Ga  0.2500  0.3266  0.0664  6 I 3.27-3.43
I  0.2500  0.1095  0.3565  1 Cd 2.77
I  0.2500  0.2202  0.8426  1 Cd 2.82
I  0.2500  0.4278  0.3483  2 Cd 2.90

Total magnetization (μB/atom): 0.000
Raw total energy (eV per atom): -2.199
Theoretical density (g cm⁻³): 4.0